Material: TbPm3Mg3
Method: DFT, PBE-GGA
State: relaxed

a b c (Å): 7.836 7.836 7.052
angles (deg): 90.00 90.00 93.01
Fractional coordinates of all 14 atoms:
Tb (0.186, 0.186, 0.000)
Tb (0.814, 0.814, 0.000)
Pm (0.000, 0.500, 0.254)
Pm (0.000, 0.500, 0.746)
Pm (0.500, 0.000, 0.254)
Pm (0.500, 0.000, 0.746)
Pm (0.500, 0.500, 0.246)
Pm (0.500, 0.500, 0.754)
Mg (0.174, 0.826, 0.500)
Mg (0.224, 0.224, 0.500)
Mg (0.244, 0.756, 0.000)
Mg (0.756, 0.244, 0.000)
Mg (0.776, 0.776, 0.500)
Mg (0.826, 0.174, 0.500)

Calculated values
E_form	0.5	eV/f.u.
space-group type	Cmmm (65)
polymorph energy (0 for the lowest one)	0.000	eV/atom